Record 1
Entry from the Open Quantum Materials Database: an optimized crystal structure of TaTlCoPd (GGA-PBE).

**Total DFT energy (no corrections)**: -6.24 eV per atom
**Volume**: 16.59 Å³ per atom
**E above lowest polymorph**: 235 meV per atom
**M_tot**: 0.4 μB per formula unit

Cell: 4.545 4.545 4.545 Å, 60.00 60.00 60.00°
Sites, in units of the cell vectors:
Co 0.750 0.750 0.750
Pd 0.500 0.500 0.500
Ta 0.250 0.250 0.250
Tl 0.000 0.000 0.000

Record 2
Entry from the Open Quantum Materials Database: an optimized crystal structure of NdRePO (GGA-PBE).

**Total DFT energy (no corrections)**: -8.13 eV per atom
**Volume**: 16.08 Å³ per atom
**E above lowest polymorph**: 477 meV per atom
**M_tot**: 0.0 μB per formula unit

Cell: 4.298 4.326 6.921 Å, 90.00 90.00 90.00°
Sites, in units of the cell vectors:
Nd 0.000 0.212 0.095
Nd 0.000 0.788 0.595
O 0.000 0.292 0.437
O 0.000 0.708 0.937
P 0.500 0.794 0.280
P 0.500 0.206 0.780
Re 0.500 0.298 0.442
Re 0.500 0.702 0.942

Record 3
Entry from the Open Quantum Materials Database: an optimized crystal structure of YEr2FeCo2Ni6 (GGA-PBE).

**E_form**: -0.297 eV per atom
**Total DFT energy (no corrections)**: -6.26 eV per atom
**Volume**: 14.35 Å³ per atom
**M_tot**: 6.3 μB per formula unit

Cell: 8.519 8.519 8.519 Å, 33.99 33.99 33.99°
Sites, in units of the cell vectors:
Co 0.334 0.334 0.334
Co 0.666 0.666 0.666
Er 0.139 0.139 0.139
Er 0.861 0.861 0.861
Fe 0.500 0.500 0.500
Ni 0.584 0.584 0.082
Ni 0.918 0.416 0.416
Ni 0.416 0.918 0.416
Ni 0.584 0.082 0.584
Ni 0.082 0.584 0.584
Ni 0.416 0.416 0.918
Y 0.000 0.000 0.000

Record 4
Entry from the Open Quantum Materials Database: an optimized crystal structure of Nd2GaSi (GGA-PBE).

**Total DFT energy (no corrections)**: -5.20 eV per atom
**Volume**: 25.28 Å³ per atom
**M_tot**: 0.1 μB per formula unit

Cell: 6.031 4.054 8.718 Å, 90.00 108.38 90.00°
Sites, in units of the cell vectors:
Ga 0.643 0.250 0.284
Ga 0.357 0.750 0.716
Nd 0.284 0.750 0.069
Nd 0.208 0.250 0.428
Nd 0.792 0.750 0.572
Nd 0.716 0.250 0.931
Si 0.855 0.750 0.213
Si 0.145 0.250 0.787

Record 5
Entry from the Open Quantum Materials Database: an optimized crystal structure of LuZnSi (GGA-PBE).

**Total DFT energy (no corrections)**: -3.99 eV per atom
**Volume**: 20.34 Å³ per atom
**M_tot**: 0.0 μB per formula unit

Cell: 4.419 4.419 4.419 Å, 60.00 60.00 60.00°
Sites, in units of the cell vectors:
Lu 0.250 0.250 0.250
Si 0.000 0.000 0.000
Zn 0.750 0.750 0.750

Record 6
Entry from the Open Quantum Materials Database: an optimized crystal structure of LiGa2Ir (GGA-PBE).

**Total DFT energy (no corrections)**: -4.41 eV per atom
**Volume**: 14.06 Å³ per atom
**E above lowest polymorph**: 294 meV per atom
**M_tot**: 0.0 μB per formula unit

Cell: 4.300 4.300 4.300 Å, 60.00 60.00 60.00°
Sites, in units of the cell vectors:
Ga 0.000 0.000 0.000
Ga 0.750 0.750 0.750
Ir 0.250 0.250 0.250
Li 0.500 0.500 0.500

Record 7
Entry from the Open Quantum Materials Database: an optimized crystal structure of YMgCdHg (GGA-PBE).

**Total DFT energy (no corrections)**: -2.50 eV per atom
**Volume**: 22.82 Å³ per atom
**E above lowest polymorph**: 200 meV per atom
**M_tot**: 0.0 μB per formula unit

Cell: 5.054 5.054 5.054 Å, 60.00 60.00 60.00°
Sites, in units of the cell vectors:
Cd 0.500 0.500 0.500
Hg 0.250 0.250 0.250
Mg 0.000 0.000 0.000
Y 0.750 0.750 0.750

Record 8
Entry from the Open Quantum Materials Database: an optimized crystal structure of SrHgBAu (GGA-PBE).

**Total DFT energy (no corrections)**: -2.43 eV per atom
**Volume**: 22.17 Å³ per atom
**E above lowest polymorph**: 118 meV per atom

Cell: 5.005 5.005 5.005 Å, 60.00 60.00 60.00°
Sites, in units of the cell vectors:
Au 0.750 0.750 0.750
B 0.500 0.500 0.500
Hg 0.250 0.250 0.250
Sr 0.000 0.000 0.000

Q: volume of number 1 (TaTlCoPd)?
A: 16.59 Å³ per atom

Q: Among the records above, which one has the lowest volume?
A: LiGa2Ir

Q: Which of these has the highest volume?
A: Nd2GaSi

Q: The highest total DFT energy (no corrections) belongs to which entry?
A: SrHgBAu